Computed, not measured: a relaxed structure of Sc3Au5 at the PBE level of DFT.

It has space group Cm (No. 8), with a = 5.700 Å, b = 14.966 Å, c = 7.652 Å, α = 90.00°, β = 104.85° and γ = 90.00°. The inequivalent atoms are Sc at (0.000, 0.000, 0.000), Sc at (0.078, 0.500, 0.610), Sc at (0.232, 0.273, 0.718), Sc at (0.288, 0.336, 0.293), Au at (0.005, 0.500, 0.232), Au at (0.034, 0.395, 0.922), Au at (0.039, 0.000, 0.360), Au at (0.052, 0.096, 0.682), Au at (0.120, 0.191, 0.044) and Au at (0.351, 0.160, 0.429).

The size of the total moment is 0.00 μB/cell. The value obtained for the formation energy is -637.3 meV per atom. The excess energy over the best structure of this formula in the dataset comes out at 0.088 eV per atom.